1.
First-principles (PBE-GGA) data for a relaxed structure of ZnRh, as listed in the Alexandria database.

abc: 7.7775 7.7775 3.9348
angles: 90.00 90.00 90.00
Closest atoms and distances in Å follow each position.
Space group I4/mmm (No. 139)
Inequivalent atoms, fractional coordinates:
Zn  0.1638  0.1638  0.0000 x8  4 Zn 2.55-2.73, 6 Rh 2.62-2.66
Rh  0.0000  0.3255  0.5000 x8  6 Zn 2.62-2.66, 5 Rh 2.71-2.75

The formation energy from the elements is -145 meV/atom.


2.
First-principles (PBE-GGA) data for a relaxed structure of Zn2Rh, as listed in the Alexandria database.

abc: 11.3432 11.3432 11.3432
angles: 90.00 90.00 90.00
Closest atoms and distances in Å follow each position.
Space group Fd-3m (No. 227, origin choice 2)
Inequivalent atoms, fractional coordinates:
Zn  0.0000  0.0000  0.0000 x16  6 Rh 2.53
Zn  0.0697  0.3750  0.8750 x48  4 Rh 2.55-2.83
Rh  0.0318  0.0318  0.2182 x32  6 Zn 2.53-2.55

The formation energy from the elements is -287 meV/atom.